Tm4TeP2: relaxed, PBE-GGA.

a b c (Å): 3.9610 3.9610 39.5625
angles (deg): 90.00 90.00 120.00
Space group R-3m (No. 166, hexagonal axes)
Inequivalent atoms, fractional coordinates:
Tm 0.0000 0.0000 0.1290 [6 per cell]
Tm 0.0000 0.0000 0.2811 [6 per cell]
Te 0.0000 0.0000 0.0000 [3 per cell]
P 0.0000 0.0000 0.4230 [6 per cell]

Its total energy is -5.81 eV per atom. The spin magnetization comes out at 1.7 μB per cell.